Record 1
! CaPrTmZn, relaxed, DFT PBE; values from VASP
! Total moment (μB per formula unit): 0.00
! Volume (A^3/atom): 29.6
! Density of states at the Fermi level (states/eV/f.u.): 4.99
! ΔE_f (eV per atom): -0.132
! Space group: P4mm (99)
&SYSTEM
  ibrav = 0, nat = 4, ntyp = 4
/
ATOMIC_SPECIES
Pr 140.91 Pr.upf
Ca 40.08 Ca.upf
Zn 65.41 Zn.upf
Tm 168.93 Tm.upf
CELL_PARAMETERS angstrom
3.5805 0.0000 0.0000
0.0000 3.5805 0.0000
0.0000 0.0000 9.2295
ATOMIC_POSITIONS crystal
Pr 0.5000 0.5000 0.7963
Ca 0.0000 0.0000 0.1274
Zn 0.5000 0.5000 0.3415
Tm 0.0000 0.0000 0.5195

=====

Record 2
! Ca3Pr12Y, relaxed, DFT PBE; values from VASP
! Total moment (μB per formula unit): 0.00
! Volume (A^3/atom): 36.4
! Density of states at the Fermi level (states/eV/f.u.): 24.12
! ΔE_f (eV per atom): 0.047
! Space group: P4/mmm (123)
&SYSTEM
  ibrav = 0, nat = 16, ntyp = 3
/
ATOMIC_SPECIES
Pr 140.91 Pr.upf
Ca 40.08 Ca.upf
Y 88.91 Y.upf
CELL_PARAMETERS angstrom
-5.2095 0.3044 -0.6562
0.4982 -1.9496 -4.8593
-2.0987 -19.5066 7.6111
ATOMIC_POSITIONS crystal
Pr 0.5000 0.5000 0.5000
Pr 0.5000 0.5000 0.7507
Pr 0.5000 0.0000 0.1213
Pr 0.5000 0.0000 0.8787
Pr 0.0000 0.5000 0.6257
Pr 0.5000 0.0000 0.3743
Ca 0.0000 0.0000 0.7516
Pr 0.5000 0.5000 0.0000
Ca 0.0000 0.0000 0.2484
Ca 0.0000 0.0000 0.5000
Pr 0.5000 0.5000 0.2493
Y 0.0000 0.0000 0.0000
Pr 0.0000 0.5000 0.1213
Pr 0.0000 0.5000 0.3743
Pr 0.5000 0.0000 0.6257
Pr 0.0000 0.5000 0.8787

=====

Record 3
! CaPr2Y3, relaxed, DFT PBE; values from VASP
! Total moment (μB per formula unit): 0.00
! Volume (A^3/atom): 36.7
! Density of states at the Fermi level (states/eV/f.u.): 9.29
! ΔE_f (eV per atom): 0.224
! Space group: P-3m1 (164)
&SYSTEM
  ibrav = 0, nat = 12, ntyp = 3
/
ATOMIC_SPECIES
Pr 140.91 Pr.upf
Ca 40.08 Ca.upf
Y 88.91 Y.upf
CELL_PARAMETERS angstrom
6.7856 0.0000 0.0000
-3.3928 5.8765 0.0000
0.0000 0.0000 11.0440
ATOMIC_POSITIONS crystal
Pr 0.6667 0.3333 0.4246
Ca 0.6667 0.3333 0.0639
Ca 0.3333 0.6667 0.9361
Y 0.3370 0.1685 0.7428
Pr 0.0000 0.0000 0.0000
Y 0.1685 0.3370 0.2572
Y 0.8315 0.6630 0.7428
Y 0.6630 0.8315 0.2572
Y 0.1685 0.8315 0.2572
Pr 0.0000 0.0000 0.5000
Y 0.8315 0.1685 0.7428
Pr 0.3333 0.6667 0.5754

=====

Record 4
! CaPr7Y3, relaxed, DFT PBE; values from VASP
! Total moment (μB per formula unit): 0.00
! E above lowest polymorph (meV per atom): 0
! Volume (A^3/atom): 37.2
! Density of states at the Fermi level (states/eV/f.u.): 16.57
! ΔE_f (eV per atom): 0.203
! Space group: P3m1 (156)
&SYSTEM
  ibrav = 0, nat = 11, ntyp = 3
/
ATOMIC_SPECIES
Pr 140.91 Pr.upf
Ca 40.08 Ca.upf
Y 88.91 Y.upf
CELL_PARAMETERS angstrom
8.8472 0.0000 0.0000
0.0000 7.3087 0.0000
0.0000 -3.6544 6.3295
ATOMIC_POSITIONS crystal
Pr 0.4562 0.8322 0.6644
Pr 0.4562 0.8322 0.1678
Ca 0.4441 0.3333 0.6667
Pr 0.1265 0.6667 0.3333
Y 0.7869 0.5019 0.4981
Pr 0.1051 0.1642 0.8358
Y 0.7869 0.9962 0.4981
Pr 0.4562 0.3356 0.1678
Pr 0.1051 0.1642 0.3284
Y 0.7869 0.5019 0.0038
Pr 0.1051 0.6716 0.8358

=====

Record 5
! CaPr2Y, relaxed, DFT PBE; values from VASP
! Total moment (μB per formula unit): 0.00
! E above lowest polymorph (meV per atom): 19
! Volume (A^3/atom): 36.2
! Density of states at the Fermi level (states/eV/f.u.): 5.95
! ΔE_f (eV per atom): 0.038
! Space group: P4/mmm (123)
&SYSTEM
  ibrav = 0, nat = 4, ntyp = 3
/
ATOMIC_SPECIES
Pr 140.91 Pr.upf
Ca 40.08 Ca.upf
Y 88.91 Y.upf
CELL_PARAMETERS angstrom
3.6878 0.0000 0.0000
0.0000 3.6878 0.0000
0.0000 0.0000 10.6550
ATOMIC_POSITIONS crystal
Pr 0.0000 0.0000 0.2364
Ca 0.5000 0.5000 0.5000
Y 0.5000 0.5000 0.0000
Pr 0.0000 0.0000 0.7636

=====

Record 6
! CaPr7Y4, relaxed, DFT PBE; values from VASP
! Total moment (μB per formula unit): 0.00
! Volume (A^3/atom): 35.3
! Density of states at the Fermi level (states/eV/f.u.): 16.46
! ΔE_f (eV per atom): 0.017
! Space group: P-1 (2)
&SYSTEM
  ibrav = 0, nat = 12, ntyp = 3
/
ATOMIC_SPECIES
Y 88.91 Y.upf
Pr 140.91 Pr.upf
Ca 40.08 Ca.upf
CELL_PARAMETERS angstrom
0.6089 -7.0456 2.2256
7.0080 -6.4510 2.3678
1.6874 2.8035 8.5407
ATOMIC_POSITIONS crystal
Y 0.2803 0.2197 0.3333
Pr 0.2250 0.7752 0.6594
Pr 0.2412 0.5000 0.9983
Pr 0.9704 0.2829 0.6618
Pr 0.7588 0.5000 0.0017
Pr 0.0296 0.7171 0.3382
Y 0.4627 0.2811 0.6640
Y 0.7197 0.7803 0.6667
Y 0.5373 0.7189 0.3360
Ca 0.0000 0.0000 0.0000
Pr 0.5000 0.0000 0.0000
Pr 0.7750 0.2248 0.3406